1.
First-principles (PBE-GGA) data for a geometry-optimized SrScAs2O8 structure, as listed in the Alexandria database.

## Properties
Its space-group type is P-3 (147). As for the formation energy from raw total energies: -1.9471 eV/atom. The value obtained for the density of states at the Fermi level is 0.731 states/eV per atom.

a b c (Å): 5.562 5.562 7.124
angles (deg): 90.00 90.00 120.00
Last column: magnetic moment on the atom in μB.
Positions (direct):
Sc1 0.000 0.000 0.500  -0.01
As1 0.333 0.667 0.763  -0.01
As2 0.667 0.333 0.237  -0.01
O1 0.165 0.837 0.692  0.05
O2 0.328 0.165 0.308  0.05
O3 0.837 0.672 0.308  0.05
O4 0.667 0.333 0.996  0.25
O5 0.163 0.328 0.692  0.05
O6 0.333 0.667 0.004  0.25
O7 0.672 0.835 0.692  0.05
O8 0.835 0.163 0.308  0.05
Sr1 0.000 0.000 0.000  0.00


2.
First-principles (PBE-GGA) data for a geometry-optimized SrSc3As4O12 structure, as listed in the Alexandria database.

## Properties
Its space-group type is R32 (155). As for the formation energy from raw total energies: -1.9714 eV/atom. The value obtained for the density of states at the Fermi level is 0.263 states/eV per atom.

a b c (Å): 6.903 6.903 6.903
angles (deg): 105.49 105.49 105.49
Positions (direct):
Sc1 0.425 0.000 0.575
Sc2 0.000 0.575 0.425
Sc3 0.575 0.425 0.000
O1 0.264 0.360 0.015
O2 0.500 0.066 0.934
O3 0.736 0.985 0.640
O4 0.360 0.015 0.264
O5 0.500 0.323 0.677
O6 0.985 0.640 0.736
O7 0.640 0.736 0.985
O8 0.323 0.677 0.500
O9 0.934 0.500 0.066
O10 0.015 0.264 0.360
O11 0.677 0.500 0.323
O12 0.066 0.934 0.500
As1 0.500 0.905 0.095
As2 0.095 0.500 0.905
As3 0.905 0.095 0.500
As4 0.500 0.500 0.500
Sr1 0.000 0.000 0.000


3.
First-principles (PBE-GGA) data for a geometry-optimized Sr2Sc4As3O2 structure, as listed in the Alexandria database.

## Properties
Its space-group type is I4/mmm (139). As for the formation energy from raw total energies: -1.8512 eV/atom. The value obtained for the density of states at the Fermi level is 0.369 states/eV per atom.

a b c (Å): 4.333 4.333 12.278
angles (deg): 100.16 100.16 90.00
Positions (direct):
Sr1 0.306 0.306 0.612
Sr2 0.694 0.694 0.388
O1 0.584 0.584 0.167
O2 0.416 0.416 0.833
As1 0.839 0.839 0.678
As2 0.000 0.000 0.000
As3 0.161 0.161 0.322
Sc1 0.575 0.075 0.151
Sc2 0.925 0.425 0.849
Sc3 0.075 0.575 0.151
Sc4 0.425 0.925 0.849


4.
First-principles (PBE-GGA) data for a geometry-optimized TbScAs2O8 structure, as listed in the Alexandria database.

## Properties
Its space-group type is I-4 (82). As for the formation energy from raw total energies: -2.2615 eV/atom. The value obtained for the density of states at the Fermi level is 0.000 states/eV per atom.

a b c (Å): 4.965 4.965 6.585
angles (deg): 112.15 112.15 90.00
Positions (direct):
O1 0.077 0.982 0.664
O2 0.413 0.320 0.153
O3 0.018 0.413 0.336
O4 0.167 0.587 0.847
O5 0.680 0.259 0.847
O6 0.317 0.923 0.336
O7 0.741 0.833 0.153
O8 0.587 0.683 0.664
As1 0.500 0.500 0.000
As2 0.250 0.750 0.500
Sc1 0.000 0.000 0.000
Tb1 0.750 0.250 0.500


5.
First-principles (PBE-GGA) data for a geometry-optimized ScTlAs2O8 structure, as listed in the Alexandria database.

## Properties
Its space-group type is P-3m1 (164). As for the formation energy from raw total energies: -1.4823 eV/atom. The value obtained for the density of states at the Fermi level is 0.029 states/eV per atom.

a b c (Å): 5.545 5.545 6.450
angles (deg): 90.00 90.00 120.00
Positions (direct):
O1 0.667 0.333 0.932
O2 0.837 0.163 0.283
O3 0.163 0.327 0.717
O4 0.163 0.837 0.717
O5 0.333 0.667 0.068
O6 0.673 0.837 0.717
O7 0.837 0.673 0.283
O8 0.327 0.163 0.283
As1 0.333 0.667 0.811
As2 0.667 0.333 0.189
Sc1 0.000 0.000 0.500
Tl1 0.000 0.000 0.000